Record 1
The following is a PBE calculation of a relaxed structure of AlCdBiP2, from Alexandria.

As for the spin magnetization: 0.00 μB/cell. The calculation puts the electronic total energy at -0.2482 Ry/atom. Its space group is No. 123. The calculation puts the energy of formation from the pure elements at 11.42 kcal/mol of atoms.

Cell: 4.723 4.723 5.208 Å, 90.00 90.00 90.00°
Positions (direct):
Al  0.000  0.000  0.000
Cd  0.000  0.000  0.500
Bi  0.500  0.500  0.500
P  0.000  0.500  0.000
P  0.500  0.000  0.000

=====

Record 2
The following is a PBE calculation of a relaxed structure of Pm2Dy4ErTm, from Alexandria.

As for the spin magnetization: 5.92 μB/cell. The calculation puts the electronic total energy at -0.3077 Ry/atom. Its space group is No. 74. The calculation puts the energy of formation from the pure elements at 9.94 kcal/mol of atoms.

Cell: 9.488 9.488 9.488 Å, 138.08 103.28 91.50°
Positions (direct):
Pm  0.000  0.000  0.000
Pm  0.500  0.000  0.000
Pm  0.500  0.000  0.500
Pm  0.500  0.500  0.500
Dy  0.244  0.748  0.496
Dy  0.246  0.247  0.501
Dy  0.246  0.744  0.999
Dy  0.249  0.252  0.996
Dy  0.751  0.748  0.004
Dy  0.754  0.256  0.001
Dy  0.754  0.753  0.499
Dy  0.756  0.252  0.504
Er  0.000  0.500  0.500
Er  0.500  0.500  0.000
Tm  0.000  0.000  0.500
Tm  0.000  0.500  0.000

=====

Record 3
The following is a PBE calculation of a relaxed structure of HfMnVCo, from Alexandria.

As for the spin magnetization: 3.63 μB/cell. The calculation puts the electronic total energy at -0.6607 Ry/atom. Its space group is No. 216. The calculation puts the energy of formation from the pure elements at -3.52 kcal/mol of atoms.

Cell: 6.041 6.041 6.041 Å, 90.00 90.00 90.00°
Positions (direct):
Hf  0.000  0.000  0.000
Hf  0.000  0.500  0.500
Hf  0.500  0.000  0.500
Hf  0.500  0.500  0.000
Mn  0.250  0.250  0.250
Mn  0.250  0.750  0.750
Mn  0.750  0.250  0.750
Mn  0.750  0.750  0.250
V  0.000  0.000  0.500
V  0.000  0.500  0.000
V  0.500  0.000  0.000
V  0.500  0.500  0.500
Co  0.250  0.250  0.750
Co  0.250  0.750  0.250
Co  0.750  0.250  0.250
Co  0.750  0.750  0.750

=====

Record 4
The following is a PBE calculation of a relaxed structure of Zr2Sc2Al, from Alexandria.

As for the spin magnetization: 0.00 μB/cell. The calculation puts the electronic total energy at -0.4619 Ry/atom. Its space group is No. 139. The calculation puts the energy of formation from the pure elements at 9.59 kcal/mol of atoms.

Cell: 3.954 3.954 15.635 Å, 90.00 90.00 90.00°
Positions (direct):
Zr  0.000  0.500  0.250
Zr  0.000  0.500  0.750
Zr  0.500  0.000  0.250
Zr  0.500  0.000  0.750
Sc  0.000  0.000  0.091
Sc  0.000  0.000  0.909
Sc  0.500  0.500  0.409
Sc  0.500  0.500  0.591
Al  0.000  0.000  0.500
Al  0.500  0.500  0.000

=====

Record 5
The following is a PBE calculation of a relaxed structure of CaLaTc2, from Alexandria.

As for the spin magnetization: 3.19 μB/cell. The calculation puts the electronic total energy at -0.4515 Ry/atom. Its space group is No. 123. The calculation puts the energy of formation from the pure elements at 17.80 kcal/mol of atoms.

Cell: 3.216 3.216 8.620 Å, 90.00 90.00 90.00°
Positions (direct):
Ca  0.000  0.000  0.000
La  0.000  0.000  0.500
Tc  0.500  0.500  0.252
Tc  0.500  0.500  0.748

=====

Record 6
The following is a PBE calculation of a relaxed structure of ZnIn2Br, from Alexandria.

As for the spin magnetization: 0.00 μB/cell. The calculation puts the electronic total energy at -0.1600 Ry/atom. Its space group is No. 10. The uncorrected formation energy is -0.072 eV/atom.

Cell: 4.317 4.836 5.489 Å, 90.00 103.49 90.00°
Positions (direct):
Zn  0.000  0.000  0.000
In  0.193  0.500  0.769
In  0.807  0.500  0.231
Br  0.500  0.000  0.500

=====

Repeat the fifth record exactly.
The following is a PBE calculation of a relaxed structure of CaLaTc2, from Alexandria.

As for the spin magnetization: 3.19 μB/cell. The calculation puts the electronic total energy at -0.4515 Ry/atom. Its space group is No. 123. The calculation puts the energy of formation from the pure elements at 17.80 kcal/mol of atoms.

Cell: 3.216 3.216 8.620 Å, 90.00 90.00 90.00°
Positions (direct):
Ca  0.000  0.000  0.000
La  0.000  0.000  0.500
Tc  0.500  0.500  0.252
Tc  0.500  0.500  0.748

=====

Which of these has the highest spin magnetization?
Pm2Dy4ErTm